1.
DFT (GGA-PBE) results for crystalline CoSiW2 at its relaxed geometry.

The calculation puts the formation energy (no corrections) at 0.145 eV/atom. The value obtained for the total energy is -9.46 eV/atom.

It has space group R3m (No. 160, hexagonal axes), with a = 2.7605 Å, b = 2.7605 Å, c = 25.6419 Å, α = 90.00°, β = 90.00° and γ = 120.00°. The distinct sites, in fractional coordinates, are Co at (0.0000, 0.0000, 0.0000), Si at (0.0000, 0.0000, 0.2646), W at (0.0000, 0.0000, 0.5114) and W at (0.0000, 0.0000, 0.7487).

2.
DFT (GGA-PBE) results for crystalline Y3Ge5Te12 at its relaxed geometry.

The calculation puts the formation energy (no corrections) at -0.489 eV/atom. The value obtained for the total energy is -4.50 eV/atom.

It has space group Ia-3d (No. 230), with a = 17.3633 Å, b = 17.3633 Å, c = 17.3633 Å, α = 90.00°, β = 90.00° and γ = 90.00°. The distinct sites, in fractional coordinates, are Y at (0.0000, 0.2500, 0.1250), Ge at (0.0000, 0.0000, 0.0000), Ge at (0.0000, 0.2500, 0.3750) and Te at (0.0217, 0.0640, 0.6532).